A geometry-optimized K2AlOs structure, computed with GGA-PBE.

## Properties
Its space group is F-43m, No. 216. As for the total energy: -12.62 eV for the cell shown. For the formation enthalpy at 0 K, the calculation gives 1.138 eV/atom. The calculation puts the density at 5.4 g/cm3.

Cell lengths 5.0478, 5.0478, 5.0478 Å; angles 60.00, 60.00, 60.00 degrees
Sites, in units of the cell vectors:
1 K 0.0000 0.0000 0.0000
2 K 0.2500 0.2500 0.2500
3 Al 0.5000 0.5000 0.5000
4 Os 0.7500 0.7500 0.7500

A geometry-optimized Pr3ThS4 structure, computed with GGA-PBE.

## Properties
Its space group is Cmmm, No. 65. As for the total energy: -54.03 eV for the cell shown. The uncorrected formation energy is -1971 meV per atom. The calculation puts the density at 6.7 g/cm3. The value obtained for the polymorph energy (0 for the lowest one) is 0.000 eV/atom.

Cell lengths 7.0870, 7.0870, 4.0739 Å; angles 90.00, 90.00, 109.36 degrees
Sites, in units of the cell vectors:
1 Pr 0.0000 0.0000 0.0000
2 Pr 0.0000 0.5000 0.5000
3 Pr 0.5000 0.0000 0.5000
4 Th 0.5000 0.5000 0.0000
5 S 0.2523 0.7477 0.0000
6 S 0.2536 0.2536 0.5000
7 S 0.7464 0.7464 0.5000
8 S 0.7477 0.2523 0.0000

A geometry-optimized Ac3HoSn3 structure, computed with GGA-PBE.

## Properties
Its space group is C2/m, No. 12. As for the total energy: -64.43 eV for the cell shown. For the formation enthalpy at 0 K, the calculation gives -0.472 eV/atom. The calculation puts the density at 7.4 g/cm3.

Cell lengths 8.3057, 8.3057, 8.5439 Å; angles 92.47, 92.47, 113.01 degrees
Sites, in units of the cell vectors:
1 Ac 0.1622 0.8378 0.0000
2 Ac 0.2307 0.7693 0.5000
3 Ac 0.3883 0.3883 0.1558
4 Ac 0.6117 0.6117 0.8442
5 Ac 0.7693 0.2307 0.5000
6 Ac 0.8378 0.1622 0.0000
7 Ho 0.2380 0.2380 0.6026
8 Ho 0.7620 0.7620 0.3974
9 Sn 0.0693 0.0693 0.2909
10 Sn 0.1449 0.4873 0.7969
11 Sn 0.4873 0.1449 0.7969
12 Sn 0.5127 0.8551 0.2031
13 Sn 0.8551 0.5127 0.2031
14 Sn 0.9307 0.9307 0.7091

A geometry-optimized PuUS3 structure, computed with GGA-PBE.

## Properties
Its space group is Pnma, No. 62. As for the total energy: -184.50 eV for the cell shown. The uncorrected formation energy is -1624 meV per atom. The calculation puts the density at 8.9 g/cm3. The value obtained for the polymorph energy (0 for the lowest one) is 0.000 eV/atom.

Cell lengths 7.3581, 3.9124, 14.9180 Å; angles 90.00, 90.00, 90.00 degrees
Sites, in units of the cell vectors:
1 Pu 0.1111 0.2500 0.2109
2 Pu 0.3889 0.7500 0.7109
3 Pu 0.6111 0.2500 0.2891
4 Pu 0.8889 0.7500 0.7891
5 U 0.2414 0.7500 0.4587
6 U 0.2586 0.2500 0.9587
7 U 0.7414 0.7500 0.0413
8 U 0.7586 0.2500 0.5413
9 S 0.0074 0.2500 0.3978
10 S 0.1244 0.7500 0.0693
11 S 0.1665 0.2500 0.7801
12 S 0.3335 0.7500 0.2801
13 S 0.3756 0.2500 0.5693
14 S 0.4926 0.7500 0.8978
15 S 0.5074 0.2500 0.1022
16 S 0.6244 0.7500 0.4307
17 S 0.6665 0.2500 0.7199
18 S 0.8335 0.7500 0.2199
19 S 0.8756 0.2500 0.9307
20 S 0.9926 0.7500 0.6022

A geometry-optimized Ti2GeH2 structure, computed with GGA-PBE.

## Properties
Its space group is Fddd, No. 70. As for the total energy: -58.81 eV for the cell shown. The calculation puts the density at 5.3 g/cm3. The value obtained for the polymorph energy (0 for the lowest one) is 0.000 eV/atom.

Cell lengths 6.5121, 5.5052, 4.9799 Å; angles 76.61, 55.33, 48.07 degrees
Sites, in units of the cell vectors:
1 Ti 0.0397 0.7103 0.0397
2 Ti 0.2897 0.9603 0.2897
3 Ti 0.7103 0.0397 0.7103
4 Ti 0.9603 0.2897 0.9603
5 Ge 0.3750 0.3750 0.3750
6 Ge 0.6250 0.6250 0.6250
7 H 0.0012 0.0012 0.7488
8 H 0.2512 0.2512 0.9988
9 H 0.7488 0.7488 0.0012
10 H 0.9988 0.9988 0.2512

A geometry-optimized Sm4TmSn structure, computed with GGA-PBE.

## Properties
Its space group is Cmc2_1, No. 36. As for the total energy: -53.90 eV for the cell shown. For the formation enthalpy at 0 K, the calculation gives 0.067 eV/atom. The calculation puts the density at 7.1 g/cm3.

Cell lengths 12.6997, 12.6997, 6.3838 Å; angles 90.00, 90.00, 156.16 degrees
Sites, in units of the cell vectors:
1 Sm 0.0938 0.9062 0.5000
2 Sm 0.1808 0.8192 0.9051
3 Sm 0.2267 0.7733 0.4015
4 Sm 0.3794 0.6206 0.6364
5 Sm 0.6206 0.3794 0.1364
6 Sm 0.7733 0.2267 0.9015
7 Sm 0.8192 0.1808 0.4051
8 Sm 0.9062 0.0938 0.0000
9 Tm 0.0375 0.9625 0.9664
10 Tm 0.9625 0.0375 0.4664
11 Sn 0.3360 0.6640 0.1233
12 Sn 0.6640 0.3360 0.6233

A geometry-optimized GdOsC2 structure, computed with GGA-PBE.

## Properties
Its space group is R-3m, No. 166. As for the total energy: -42.67 eV for the cell shown. For the formation enthalpy at 0 K, the calculation gives 0.272 eV/atom. The calculation puts the density at 12.3 g/cm3.

Cell lengths 5.6095, 5.6095, 5.6095 Å; angles 34.40, 34.40, 34.40 degrees
Sites, in units of the cell vectors:
1 Gd 0.0000 0.0000 0.0000
2 Os 0.5000 0.5000 0.5000
3 C 0.2323 0.2323 0.2323
4 C 0.7677 0.7677 0.7677

A geometry-optimized KCuSe2 structure, computed with GGA-PBE.

## Properties
Its space group is P2/m, No. 10. As for the total energy: -14.43 eV for the cell shown. The uncorrected formation energy is -566 meV per atom. The calculation puts the density at 3.8 g/cm3.

Cell lengths 5.0358, 3.7726, 5.9610 Å; angles 90.00, 90.45, 90.00 degrees
Sites, in units of the cell vectors:
1 K 0.0000 0.0000 0.0000
2 Cu 0.5000 0.0000 0.5000
3 Se 0.4982 0.5000 0.7482
4 Se 0.5018 0.5000 0.2518

A geometry-optimized La3AgCl structure, computed with GGA-PBE.

## Properties
Its space group is Pm-3m, No. 221. As for the total energy: -21.77 eV for the cell shown. The uncorrected formation energy is -458 meV per atom. The calculation puts the density at 5.8 g/cm3. The value obtained for the polymorph energy (0 for the lowest one) is 0.214 eV/atom.

Cell lengths 5.4435, 5.4435, 5.4435 Å; angles 90.00, 90.00, 90.00 degrees
Sites, in units of the cell vectors:
1 La 0.0000 0.0000 0.5000
2 La 0.0000 0.5000 0.0000
3 La 0.5000 0.0000 0.0000
4 Ag 0.5000 0.5000 0.5000
5 Cl 0.0000 0.0000 0.0000

A geometry-optimized Ti2TlCl2 structure, computed with GGA-PBE.

## Properties
Its space group is P4/mbm, No. 127. As for the total energy: -45.40 eV for the cell shown. The uncorrected formation energy is -170 meV per atom. The calculation puts the density at 6.7 g/cm3. The value obtained for the polymorph energy (0 for the lowest one) is 0.204 eV/atom.

Cell lengths 7.7814, 7.7814, 3.0472 Å; angles 90.00, 90.00, 90.00 degrees
Sites, in units of the cell vectors:
1 Ti 0.1606 0.3394 0.0000
2 Ti 0.3394 0.8394 0.0000
3 Ti 0.6606 0.1606 0.0000
4 Ti 0.8394 0.6606 0.0000
5 Tl 0.0000 0.0000 0.0000
6 Tl 0.5000 0.5000 0.0000
7 Cl 0.1297 0.6297 0.5000
8 Cl 0.3703 0.1297 0.5000
9 Cl 0.6297 0.8703 0.5000
10 Cl 0.8703 0.3703 0.5000

A geometry-optimized SmLuZn structure, computed with GGA-PBE.

## Properties
Its space group is I4mm, No. 107. As for the total energy: -11.12 eV for the cell shown. For the formation enthalpy at 0 K, the calculation gives -0.203 eV/atom. The calculation puts the density at 8.4 g/cm3. The value obtained for the polymorph energy (0 for the lowest one) is 0.000 eV/atom.

Cell lengths 6.6036, 6.6036, 6.6036 Å; angles 148.67, 148.67, 44.90 degrees
Sites, in units of the cell vectors:
1 Sm 0.0000 0.0000 0.0000
2 Lu 0.2886 0.2886 0.0000
3 Zn 0.6572 0.6572 0.0000

A geometry-optimized Zr2PdSe structure, computed with GGA-PBE.

## Properties
Its space group is R3m, No. 160. As for the total energy: -28.80 eV for the cell shown. The uncorrected formation energy is -758 meV per atom. The calculation puts the density at 7.4 g/cm3.

Cell lengths 7.5673, 7.5673, 7.5673 Å; angles 27.77, 27.77, 27.77 degrees
Sites, in units of the cell vectors:
1 Zr 0.0000 0.0000 0.0000
2 Zr 0.1703 0.1703 0.1703
3 Pd 0.5825 0.5825 0.5825
4 Se 0.7517 0.7517 0.7517

A geometry-optimized KMn2Tl structure, computed with GGA-PBE.

## Properties
Its space group is Pm, No. 6. As for the total energy: -19.51 eV for the cell shown. For the formation enthalpy at 0 K, the calculation gives 0.572 eV/atom. The calculation puts the density at 6.1 g/cm3. The value obtained for the polymorph energy (0 for the lowest one) is 0.000 eV/atom.

Cell lengths 3.2824, 3.3000, 8.8430 Å; angles 90.00, 90.09, 90.00 degrees
Sites, in units of the cell vectors:
1 K 0.0000 0.0000 0.0000
2 Mn 0.4975 0.5000 0.3170
3 Mn 0.9984 0.0000 0.4729
4 Tl 0.4995 0.5000 0.6821

A geometry-optimized Th2MgTl4 structure, computed with GGA-PBE.

## Properties
Its space group is Fmmm, No. 69. As for the total energy: -25.30 eV for the cell shown. For the formation enthalpy at 0 K, the calculation gives 0.086 eV/atom. The calculation puts the density at 10.3 g/cm3.

Cell lengths 8.0261, 7.1125, 6.0186 Å; angles 74.84, 58.80, 46.37 degrees
Sites, in units of the cell vectors:
1 Th 0.1388 0.1388 0.8612
2 Th 0.8612 0.8612 0.1388
3 Mg 0.5000 0.5000 0.5000
4 Tl 0.0000 0.0000 0.5000
5 Tl 0.2500 0.2500 0.2500
6 Tl 0.5000 0.5000 0.0000
7 Tl 0.7500 0.7500 0.7500

A geometry-optimized CsHRu3 structure, computed with GGA-PBE.

## Properties
Its space group is Pm-3m, No. 221. As for the total energy: -24.56 eV for the cell shown. The calculation puts the density at 9.9 g/cm3. The value obtained for the polymorph energy (0 for the lowest one) is 0.000 eV/atom.

Cell lengths 4.1843, 4.1843, 4.1843 Å; angles 90.00, 90.00, 90.00 degrees
Sites, in units of the cell vectors:
1 Cs 0.0000 0.0000 0.0000
2 H 0.5000 0.5000 0.5000
3 Ru 0.0000 0.5000 0.5000
4 Ru 0.5000 0.0000 0.5000
5 Ru 0.5000 0.5000 0.0000

A geometry-optimized Ba2BiPt structure, computed with GGA-PBE.

## Properties
Its space group is R-3m, No. 166. As for the total energy: -15.17 eV for the cell shown. For the formation enthalpy at 0 K, the calculation gives -0.351 eV/atom. The calculation puts the density at 6.4 g/cm3.

Cell lengths 11.0240, 11.0240, 11.0240 Å; angles 22.84, 22.84, 22.84 degrees
Sites, in units of the cell vectors:
1 Ba 0.1095 0.1095 0.1095
2 Ba 0.8905 0.8905 0.8905
3 Bi 0.0000 0.0000 0.0000
4 Pt 0.5000 0.5000 0.5000

A geometry-optimized Re4IrRu structure, computed with GGA-PBE.

## Properties
Its space group is C2/m, No. 12. As for the total energy: -135.94 eV for the cell shown. For the formation enthalpy at 0 K, the calculation gives -0.007 eV/atom. The calculation puts the density at 19.5 g/cm3. The value obtained for the polymorph energy (0 for the lowest one) is 0.000 eV/atom.

Cell lengths 6.1567, 6.1567, 8.6968 Å; angles 115.24, 115.24, 36.85 degrees
Sites, in units of the cell vectors:
1 Re 0.0410 0.0410 0.3768
2 Re 0.1256 0.1256 0.1211
3 Re 0.3753 0.3753 0.3765
4 Re 0.4571 0.4571 0.1247
5 Re 0.5429 0.5429 0.8753
6 Re 0.6247 0.6247 0.6235
7 Re 0.8744 0.8744 0.8789
8 Re 0.9590 0.9590 0.6232
9 Ir 0.2927 0.2927 0.6268
10 Ir 0.7073 0.7073 0.3732
11 Ru 0.2079 0.2079 0.8753
12 Ru 0.7921 0.7921 0.1247

A geometry-optimized DyTmZnPd structure, computed with GGA-PBE.

## Properties
Its space group is F-43m, No. 216. As for the total energy: -18.02 eV for the cell shown. For the formation enthalpy at 0 K, the calculation gives -0.620 eV/atom. The calculation puts the density at 9.6 g/cm3. The value obtained for the polymorph energy (0 for the lowest one) is 0.026 eV/atom.

Cell lengths 4.9693, 4.9693, 4.9693 Å; angles 60.00, 60.00, 60.00 degrees
Sites, in units of the cell vectors:
1 Dy 0.0000 0.0000 0.0000
2 Tm 0.5000 0.5000 0.5000
3 Zn 0.2500 0.2500 0.2500
4 Pd 0.7500 0.7500 0.7500

A geometry-optimized BaZr2Zn2O7 structure, computed with GGA-PBE.

## Properties
Its space group is Immm, No. 71. As for the total energy: -86.87 eV for the cell shown. The uncorrected formation energy is -2550 meV per atom. The calculation puts the density at 5.7 g/cm3.

Cell lengths 9.7265, 9.7265, 9.7265 Å; angles 155.34, 154.63, 35.67 degrees
Sites, in units of the cell vectors:
1 Ba 0.0000 0.0000 0.0000
2 Zr 0.3863 0.3863 0.0000
3 Zr 0.6137 0.6137 0.0000
4 Zn 0.2344 0.7344 0.5000
5 Zn 0.7656 0.2656 0.5000
6 O 0.1203 0.6203 0.5000
7 O 0.2666 0.2666 0.0000
8 O 0.3924 0.8924 0.5000
9 O 0.5000 0.5000 0.0000
10 O 0.6076 0.1076 0.5000
11 O 0.7334 0.7334 0.0000
12 O 0.8797 0.3797 0.5000

A geometry-optimized Dy2Al3Ga2 structure, computed with GGA-PBE.

## Properties
Its space group is Cmmm, No. 65. As for the total energy: -28.95 eV for the cell shown. For the formation enthalpy at 0 K, the calculation gives -0.352 eV/atom. The calculation puts the density at 6.3 g/cm3. The value obtained for the polymorph energy (0 for the lowest one) is 0.131 eV/atom.

Cell lengths 9.9272, 9.9272, 3.4873 Å; angles 90.00, 90.00, 155.18 degrees
Sites, in units of the cell vectors:
1 Dy 0.1560 0.8440 0.0000
2 Dy 0.8440 0.1560 0.0000
3 Al 0.0000 0.0000 0.0000
4 Al 0.4307 0.5693 0.5000
5 Al 0.5693 0.4307 0.5000
6 Ga 0.2885 0.7115 0.5000
7 Ga 0.7115 0.2885 0.5000